Record 1
DFT (GGA-PBE) results for an optimized crystal structure of Re2As.

Output
* ΔH_f (0 K): 0.3275 eV/atom

a b c (Å): 2.865 7.396 4.250
angles (deg): 90.00 90.00 90.00
Positions (direct):
Re 0.239 0.165 0.000
Re 0.261 0.665 0.500
Re 0.739 0.335 0.500
Re 0.761 0.835 0.000
As 0.000 0.500 0.000
As 0.500 0.000 0.500



Record 2
DFT (GGA-PBE) results for an optimized crystal structure of PuZrGe2.

Output
* energy relative to the lowest polymorph listed for this composition: 90.0 meV/atom
* ΔH_f (0 K): -0.4673 eV/atom

a b c (Å): 5.266 5.266 2.921
angles (deg): 90.00 90.00 90.00
Positions (direct):
Pu 0.000 0.000 0.000
Zr 0.500 0.500 0.000
Ge 0.000 0.500 0.500
Ge 0.500 0.000 0.500



Record 3
DFT (GGA-PBE) results for an optimized crystal structure of Ta17Ru12.

Output
* ΔH_f (0 K): -0.2532 eV/atom

a b c (Å): 8.545 8.545 8.545
angles (deg): 109.47 109.47 109.47
Positions (direct):
Ta 0.000 0.000 0.000
Ta 0.000 0.000 0.656
Ta 0.000 0.393 0.682
Ta 0.000 0.656 0.000
Ta 0.000 0.682 0.393
Ta 0.289 0.607 0.607
Ta 0.318 0.318 0.711
Ta 0.318 0.711 0.318
Ta 0.344 0.344 0.344
Ta 0.393 0.000 0.682
Ta 0.393 0.682 0.000
Ta 0.607 0.289 0.607
Ta 0.607 0.607 0.289
Ta 0.656 0.000 0.000
Ta 0.682 0.000 0.393
Ta 0.682 0.393 0.000
Ta 0.711 0.318 0.318
Ru 0.000 0.191 0.374
Ru 0.000 0.374 0.191
Ru 0.183 0.809 0.809
Ru 0.191 0.000 0.374
Ru 0.191 0.374 0.000
Ru 0.374 0.000 0.191
Ru 0.374 0.191 0.000
Ru 0.626 0.626 0.817
Ru 0.626 0.817 0.626
Ru 0.809 0.183 0.809
Ru 0.809 0.809 0.183
Ru 0.817 0.626 0.626



Record 4
DFT (GGA-PBE) results for an optimized crystal structure of Na2CdAs2.

Output
* energy relative to the lowest polymorph listed for this composition: 0.0 meV/atom
* ΔH_f (0 K): -0.3331 eV/atom

a b c (Å): 6.066 6.066 10.567
angles (deg): 117.58 117.58 45.80
Positions (direct):
Na 0.022 0.022 0.201
Na 0.180 0.180 0.592
Na 0.820 0.820 0.408
Na 0.978 0.978 0.799
Cd 0.290 0.290 0.143
Cd 0.710 0.710 0.857
As 0.368 0.368 0.929
As 0.470 0.470 0.601
As 0.530 0.530 0.399
As 0.632 0.632 0.071



Record 5
DFT (GGA-PBE) results for an optimized crystal structure of Li2BeSnSe4.

Output
* raw formation energy: -81 kJ per mole of atoms

a b c (Å): 6.838 6.838 6.838
angles (deg): 128.84 128.84 75.27
Positions (direct):
Li 0.000 0.000 0.000
Li 0.750 0.250 0.500
Be 0.250 0.750 0.500
Sn 0.500 0.500 0.000
Se 0.133 0.635 0.045
Se 0.365 0.410 0.498
Se 0.590 0.089 0.955
Se 0.911 0.867 0.502



Record 6
DFT (GGA-PBE) results for an optimized crystal structure of Th2HRh.

Output
* energy relative to the lowest polymorph listed for this composition: 86.9 meV/atom

a b c (Å): 7.839 7.839 7.839
angles (deg): 30.55 30.55 30.55
Positions (direct):
Th 0.097 0.097 0.097
Th 0.903 0.903 0.903
H 0.000 0.000 0.000
Rh 0.500 0.500 0.500



Record 7
DFT (GGA-PBE) results for an optimized crystal structure of Pr5NiCl5.

Output
* raw formation energy: -137 kJ per mole of atoms

a b c (Å): 5.786 6.964 8.533
angles (deg): 72.24 89.95 65.45
Positions (direct):
Pr 0.000 0.000 0.000
Pr 0.326 0.347 0.145
Pr 0.349 0.302 0.702
Pr 0.651 0.698 0.298
Pr 0.674 0.653 0.855
Ni 0.500 0.000 0.000
Cl 0.151 0.698 0.800
Cl 0.165 0.668 0.358
Cl 0.500 0.000 0.500
Cl 0.835 0.332 0.642
Cl 0.849 0.302 0.200



Record 8
DFT (GGA-PBE) results for an optimized crystal structure of Li2BePt.

Output
* ΔH_f (0 K): -0.2705 eV/atom

a b c (Å): 2.718 4.049 4.663
angles (deg): 90.00 90.00 90.00
Positions (direct):
Li 0.000 0.000 0.245
Li 0.000 0.000 0.755
Be 0.500 0.500 0.500
Pt 0.500 0.500 0.000



Record 9
DFT (GGA-PBE) results for an optimized crystal structure of HfSi2MoC.

Output
* raw formation energy: 88 kJ per mole of atoms

a b c (Å): 4.740 4.740 3.923
angles (deg): 90.00 90.00 90.00
Positions (direct):
Hf 0.000 0.000 0.000
Si 0.000 0.500 0.500
Si 0.500 0.000 0.500
Mo 0.500 0.500 0.500
C 0.500 0.500 0.000



| no. | N(E_F) (states/eV per cell) | total magnetization (μB/atom) |
| --- | --- | --- |
| 1 | 3.7 | 0.000 |
| 2 | 7.1 | 1.324 |
| 3 | 27.5 | 0.000 |
| 4 | 1.4 | 0.000 |
| 5 | 0.0 | 0.000 |
| 6 | 2.9 | 0.000 |
| 7 | 5.9 | 0.000 |
| 8 | 1.3 | 0.000 |
| 9 | 2.0 | 0.000 |